Density functional theory data (PBE) for a relaxed structure of CaErAu6.

CIF file:
```
data_CaErAu6
_chemical_formula_sum 'Ca1 Er1 Au6'
_symmetry_space_group_name_H-M 'P 1'
_symmetry_Int_Tables_number 1
_cell_length_a 4.416
_cell_length_b 5.170
_cell_length_c 8.137
_cell_angle_alpha 80.09
_cell_angle_beta 74.26
_cell_angle_gamma 64.71
loop_
_symmetry_equiv_pos_as_xyz
'x,y,z'
loop_
_atom_site_label
_atom_site_fract_x
_atom_site_fract_y
_atom_site_fract_z
_atom_site_occupancy
Ca1 0.000 0.500 0.500 1
Er1 0.000 0.000 0.000 1
Au1 0.246 0.876 0.631 1
Au2 0.504 0.241 0.752 1
Au3 0.250 0.377 0.122 1
Au4 0.496 0.759 0.248 1
Au5 0.754 0.124 0.369 1
Au6 0.750 0.623 0.878 1
```

Results
E_form = -609 meV per atom
Final energy = -3.888 eV per atom